# 1
A plane-wave DFT calculation with PBE was carried out for an optimized crystal structure of Li2Zn2Ni3.

Properties
Calculated volume ... 12.5 Å³ per atom
Total moment ... 0.0 μB per formula unit
Excess energy over the best structure of this formula in the dataset ... 102 meV/atom
Energy of formation ... -0.005 eV per atom

Cell: 12.8275 2.4947 6.2141 Å, 90.00 118.49 90.00°
Space group C2/m (No. 12)
Symmetry-distinct sites (fractional):
Li1 0.2117 0.0000 0.1522
Zn1 0.0682 0.5000 0.7323
Ni1 0.0000 0.0000 0.0000
Ni2 0.1482 0.5000 0.4152


# 2
A plane-wave DFT calculation with PBE was carried out for an optimized crystal structure of Li2ZnNi4.

Properties
Calculated volume ... 11.8 Å³ per atom
Total moment ... 0.9 μB per formula unit
Energy of formation ... 0.110 eV per atom

Cell: 6.1478 6.1478 4.3727 Å, 90.00 90.00 90.00°
Space group I4/mmm (No. 139)
Symmetry-distinct sites (fractional):
Li1 0.0000 0.5000 0.2500
Zn1 0.0000 0.0000 0.0000
Ni1 0.1932 0.1932 0.5000


# 3
A plane-wave DFT calculation with PBE was carried out for an optimized crystal structure of LiZn2Ni6.

Properties
Calculated volume ... 11.5 Å³ per atom
Total moment ... 0.6 μB per formula unit
Energy of formation ... -0.101 eV per atom

Cell: 10.9667 2.5429 7.5952 Å, 90.00 103.15 90.00°
Space group C2/m (No. 12)
Symmetry-distinct sites (fractional):
Li1 0.0000 0.0000 0.0000
Zn1 0.1694 0.5000 0.2298
Ni1 0.0047 0.0000 0.6702
Ni2 0.1615 0.5000 0.5522
Ni3 0.1693 0.5000 0.8894


# 4
A plane-wave DFT calculation with PBE was carried out for an optimized crystal structure of LiZn3Ni2.

Properties
Calculated volume ... 12.8 Å³ per atom
Total moment ... 0.0 μB per formula unit
Excess energy over the best structure of this formula in the dataset ... 29 meV/atom
Energy of formation ... -0.214 eV per atom

Cell: 2.8789 2.8789 9.2662 Å, 90.00 90.00 90.00°
Space group P4/mmm (No. 123)
Symmetry-distinct sites (fractional):
Li1 0.0000 0.0000 0.0000
Zn1 0.5000 0.5000 0.1838
Zn2 0.5000 0.5000 0.5000
Ni1 0.0000 0.0000 0.3413


- What is the total moment in the third record?
  0.6 μB per formula unit